First-principles (PBE) data for a relaxed TaTiNbBi2 crystal, as listed in Alexandria.

abc: 5.264 5.264 4.645
angles: 90.00 90.00 90.00
Positions (direct):
Ta1 0.000 0.000 0.000
Ti1 0.000 0.000 0.500
Nb1 0.500 0.500 0.000
Bi1 0.000 0.500 0.500
Bi2 0.500 0.000 0.500

Space-group type: No. 123
Size of the total moment in μB/cell: 0.0
DOS at the Fermi energy in states/eV/cell: 7.59
Calculated formation energy in eV per atom: 1.3114